i.
VASP calculation (PBE-GGA) on a geometry-optimized LaSmYCd structure.

Calculated values
Mass density = 6.6 g cm⁻³

```
data_LaSmYCd
_chemical_formula_sum 'La4 Sm4 Y4 Cd4'
_space_group_name_H-M_alt 'F -4 3 m'
_space_group_IT_number 216
_space_group_name_Hall 'F -4 2 3'
_cell_length_a 7.920
_cell_length_b 7.920
_cell_length_c 7.920
_cell_angle_alpha 90.00
_cell_angle_beta 90.00
_cell_angle_gamma 90.00
loop_
_atom_site_label
_atom_site_type_symbol
_atom_site_fract_x
_atom_site_fract_y
_atom_site_fract_z
La1 La 0.000 0.000 0.000
Sm1 Sm 0.000 0.000 0.500
Y1 Y 0.250 0.250 0.250
Cd1 Cd 0.250 0.250 0.750
```

ii.
VASP calculation (PBE-GGA) on a geometry-optimized LaSmYCd structure.

Calculated values
Mass density = 6.5 g cm⁻³

```
data_LaSmYCd
_chemical_formula_sum 'La1 Sm1 Y1 Cd1'
_space_group_name_H-M_alt 'P 4 m m'
_space_group_IT_number 99
_cell_length_a 3.734
_cell_length_b 3.734
_cell_length_c 8.922
_cell_angle_alpha 90.00
_cell_angle_beta 90.00
_cell_angle_gamma 90.00
loop_
_space_group_symop_operation_xyz
'x,y,z'
'-y,x,z'
'-x,-y,z'
'y,-x,z'
'-x,y,z'
'y,x,z'
'x,-y,z'
'-y,-x,z'
loop_
_atom_site_label
_atom_site_type_symbol
_atom_site_fract_x
_atom_site_fract_y
_atom_site_fract_z
La1 La 0.000 0.000 0.000
Sm1 Sm 0.500 0.500 0.715
Y1 Y 0.500 0.500 0.283
Cd1 Cd 0.000 0.000 0.491
```

Short version: ii is the most stable of them.

i.
VASP calculation (PBE-GGA) on a geometry-optimized La4CdSn structure.

Calculated values
Mass density = 7.4 g cm⁻³

```
data_La4CdSn
_chemical_formula_sum 'La4 Cd1 Sn1'
_space_group_name_H-M_alt 'P m m m'
_space_group_IT_number 47
_cell_length_a 3.334
_cell_length_b 5.515
_cell_length_c 9.618
_cell_angle_alpha 90.00
_cell_angle_beta 90.00
_cell_angle_gamma 90.00
loop_
_space_group_symop_operation_xyz
'x,y,z'
'-x,-y,-z'
'-x,-y,z'
'x,y,-z'
'x,-y,-z'
'-x,y,z'
'-x,y,-z'
'x,-y,z'
loop_
_atom_site_label
_atom_site_type_symbol
_atom_site_fract_x
_atom_site_fract_y
_atom_site_fract_z
La1 La 0.000 0.000 0.164
La2 La 0.000 0.500 0.333
Cd1 Cd 0.500 0.000 0.500
Sn1 Sn 0.500 0.500 0.000
```

ii.
VASP calculation (PBE-GGA) on a geometry-optimized La4CdSn structure.

Calculated values
Mass density = 6.2 g cm⁻³

```
data_La4CdSn
_chemical_formula_sum 'La8 Cd2 Sn2'
_space_group_name_H-M_alt 'C 1 2/m 1'
_space_group_IT_number 12
_cell_length_a 8.450
_cell_length_b 5.640
_cell_length_c 8.948
_cell_angle_alpha 90.00
_cell_angle_beta 100.61
_cell_angle_gamma 90.00
loop_
_space_group_symop_operation_xyz
'x,y,z'
'-x,-y,-z'
'-x,y,-z'
'x,-y,z'
'x+1/2,y+1/2,z'
'-x+1/2,-y+1/2,-z'
'-x+1/2,y+1/2,-z'
'x+1/2,-y+1/2,z'
loop_
_atom_site_label
_atom_site_type_symbol
_atom_site_fract_x
_atom_site_fract_y
_atom_site_fract_z
La1 La 0.127 0.000 0.369
La2 La 0.172 0.500 0.153
Cd1 Cd 0.000 0.500 0.500
Sn1 Sn 0.000 0.000 0.000
```

Short version: ii is the most stable of them.

i.
VASP calculation (PBE-GGA) on a geometry-optimized La4CdSn2 structure.

Calculated values
Mass density = 6.4 g cm⁻³

```
data_La4CdSn2
_chemical_formula_sum 'La12 Cd3 Sn6'
_space_group_name_H-M_alt 'R -3 m'
_space_group_IT_number 166
_space_group_name_Hall '-R 3 2"'
_cell_length_a 5.5001
_cell_length_b 5.5001
_cell_length_c 26.8224
_cell_angle_alpha 90.00
_cell_angle_beta 90.00
_cell_angle_gamma 120.00
loop_
_atom_site_label
_atom_site_type_symbol
_atom_site_fract_x
_atom_site_fract_y
_atom_site_fract_z
La1 La 0.0000 0.0000 0.1222
La2 La 0.0000 0.0000 0.3736
Cd1 Cd 0.0000 0.0000 0.5000
Sn1 Sn 0.0000 0.0000 0.2512
```

ii.
VASP calculation (PBE-GGA) on a geometry-optimized La4CdSn2 structure.

Calculated values
Mass density = 5.5 g cm⁻³

```
data_La4CdSn2
_chemical_formula_sum 'La8 Cd2 Sn4'
_space_group_name_H-M_alt 'I 4/m m m'
_space_group_IT_number 139
_space_group_name_Hall '-I 4 2'
_cell_length_a 5.639
_cell_length_b 5.639
_cell_length_c 17.199
_cell_angle_alpha 90.00
_cell_angle_beta 90.00
_cell_angle_gamma 90.00
loop_
_atom_site_label
_atom_site_type_symbol
_atom_site_fract_x
_atom_site_fract_y
_atom_site_fract_z
La1 La 0.000 0.000 0.186
La2 La 0.000 0.500 0.000
Cd1 Cd 0.000 0.000 0.000
Sn1 Sn 0.000 0.000 0.372
```

Short version: i is the most stable of them.

i.
VASP calculation (PBE-GGA) on a geometry-optimized LaCd3Sn structure.

Calculated values
Mass density = 4.7 g cm⁻³

```
data_LaCd3Sn
_chemical_formula_sum 'La1 Cd3 Sn1'
_space_group_name_H-M_alt 'P m -3 m'
_space_group_IT_number 221
_space_group_name_Hall '-P 4 2 3'
_cell_length_a 5.952
_cell_length_b 5.952
_cell_length_c 5.952
_cell_angle_alpha 90.00
_cell_angle_beta 90.00
_cell_angle_gamma 90.00
loop_
_atom_site_label
_atom_site_type_symbol
_atom_site_fract_x
_atom_site_fract_y
_atom_site_fract_z
La1 La 0.000 0.000 0.000
Cd1 Cd 0.000 0.000 0.500
Sn1 Sn 0.500 0.500 0.500
```

ii.
VASP calculation (PBE-GGA) on a geometry-optimized LaCd3Sn structure.

Calculated values
Mass density = 6.1 g cm⁻³

```
data_LaCd3Sn
_chemical_formula_sum 'La1 Cd3 Sn1'
_space_group_name_H-M_alt 'P m -3 m'
_space_group_IT_number 221
_space_group_name_Hall '-P 4 2 3'
_cell_length_a 5.462
_cell_length_b 5.462
_cell_length_c 5.462
_cell_angle_alpha 90.00
_cell_angle_beta 90.00
_cell_angle_gamma 90.00
loop_
_atom_site_label
_atom_site_type_symbol
_atom_site_fract_x
_atom_site_fract_y
_atom_site_fract_z
La1 La 0.000 0.000 0.000
Cd1 Cd 0.000 0.500 0.500
Sn1 Sn 0.500 0.500 0.500
```

Short version: ii is the most stable of them.

i.
VASP calculation (PBE-GGA) on a geometry-optimized SrLaCd4 structure.

Calculated values
Mass density = 6.8 g cm⁻³

```
data_SrLaCd4
_chemical_formula_sum 'Sr4 La4 Cd16'
_space_group_name_H-M_alt 'F -4 3 m'
_space_group_IT_number 216
_space_group_name_Hall 'F -4 2 3'
_cell_length_a 8.689
_cell_length_b 8.689
_cell_length_c 8.689
_cell_angle_alpha 90.00
_cell_angle_beta 90.00
_cell_angle_gamma 90.00
loop_
_atom_site_label
_atom_site_type_symbol
_atom_site_fract_x
_atom_site_fract_y
_atom_site_fract_z
Sr1 Sr 0.000 0.000 0.000
La1 La 0.250 0.250 0.250
Cd1 Cd 0.124 0.124 0.624
```

ii.
VASP calculation (PBE-GGA) on a geometry-optimized SrLaCd4 structure.

Calculated values
Mass density = 5.6 g cm⁻³

```
data_SrLaCd4
_chemical_formula_sum 'Sr1 La1 Cd4'
_space_group_name_H-M_alt 'P 4/m m m'
_space_group_IT_number 123
_space_group_name_Hall '-P 4 2'
_cell_length_a 4.292
_cell_length_b 4.292
_cell_length_c 10.832
_cell_angle_alpha 90.00
_cell_angle_beta 90.00
_cell_angle_gamma 90.00
loop_
_atom_site_label
_atom_site_type_symbol
_atom_site_fract_x
_atom_site_fract_y
_atom_site_fract_z
Sr1 Sr 0.000 0.000 0.000
La1 La 0.500 0.500 0.500
Cd1 Cd 0.000 0.500 0.259
```

Short version: i is the most stable of them.

i.
VASP calculation (PBE-GGA) on a geometry-optimized SrLa3Cd structure.

Calculated values
Mass density = 4.9 g cm⁻³

```
data_SrLa3Cd
_chemical_formula_sum 'Sr1 La3 Cd1'
_space_group_name_H-M_alt 'P m -3 m'
_space_group_IT_number 221
_space_group_name_Hall '-P 4 2 3'
_cell_length_a 5.944
_cell_length_b 5.944
_cell_length_c 5.944
_cell_angle_alpha 90.00
_cell_angle_beta 90.00
_cell_angle_gamma 90.00
loop_
_atom_site_label
_atom_site_type_symbol
_atom_site_fract_x
_atom_site_fract_y
_atom_site_fract_z
Sr1 Sr 0.000 0.000 0.000
La1 La 0.000 0.000 0.500
Cd1 Cd 0.500 0.500 0.500
```

ii.
VASP calculation (PBE-GGA) on a geometry-optimized SrLa3Cd structure.

Calculated values
Mass density = 4.5 g cm⁻³

```
data_SrLa3Cd
_chemical_formula_sum 'Sr1 La3 Cd1'
_space_group_name_H-M_alt 'P m -3 m'
_space_group_IT_number 221
_space_group_name_Hall '-P 4 2 3'
_cell_length_a 6.104
_cell_length_b 6.104
_cell_length_c 6.104
_cell_angle_alpha 90.00
_cell_angle_beta 90.00
_cell_angle_gamma 90.00
loop_
_atom_site_label
_atom_site_type_symbol
_atom_site_fract_x
_atom_site_fract_y
_atom_site_fract_z
Sr1 Sr 0.000 0.000 0.000
La1 La 0.000 0.500 0.500
Cd1 Cd 0.500 0.500 0.500
```

Short version: ii is the most stable of them.